Record 1
Compound: Ho2MgSnN4
Source: Alexandria via LeMat-Bulk
Functional: PBE
Structure: relaxed

a = 5.6184 Å, b = 3.3957 Å, c = 5.7716 Å
α = 90.00°, β = 108.51°, γ = 90.00°
Closest atoms and distances in Å follow each position.
Space group P2/m (No. 10)
Asymmetric unit:
Ho 0.0000 0.0000 0.0000  6 N 2.36-2.38
Ho 0.0000 0.5000 0.5000  6 N 2.37-2.40
Mg 0.5000 0.0000 0.5000  6 N 2.26-2.37
Sn 0.5000 0.5000 0.0000  6 N 2.25-2.35
N 0.2575 0.5000 0.2453  1 Sn 2.25, 3 Ho 2.37-2.38, 2 Mg 2.37
N 0.2607 0.0000 0.7501  1 Mg 2.26, 2 Sn 2.35, 3 Ho 2.36-2.40

Summary:
- Uncorrected formation energy: -0.94 eV per atom
- Total magnetization: 0.00 μB/cell

***

Record 2
Compound: Ti2InIr2
Source: Alexandria via LeMat-Bulk
Functional: PBE
Structure: relaxed

a = 4.1968 Å, b = 4.1968 Å, c = 10.6408 Å
α = 90.00°, β = 90.00°, γ = 90.00°
Closest atoms and distances in Å follow each position.
Space group I4/mmm (No. 139)
Asymmetric unit:
Ti 0.0000 0.5000 0.2500  4 Ir 2.52
In 0.0000 0.0000 0.0000  8 Ir 3.23, 8 Ti 3.39
Ir 0.0000 0.0000 0.3807  4 Ti 2.52, 1 Ir 2.54

Summary:
- Energy of formation: -2.656 eV/f.u.
- Total magnetization: 0.00 μB/cell
- DOS at the Fermi energy: 0.7068 states/eV per atom

***

Record 3
Compound: PuThSn2
Source: Alexandria via LeMat-Bulk
Functional: PBE
Structure: relaxed

a = 4.9274 Å, b = 4.9274 Å, c = 4.5200 Å
α = 90.00°, β = 90.00°, γ = 90.00°
Closest atoms and distances in Å follow each position.
Space group P4/mmm (No. 123)
Asymmetric unit:
Pu 0.0000 0.0000 0.0000  8 Sn 3.34, 4 Th 3.48
Th 0.5000 0.5000 0.0000  8 Sn 3.34, 4 Pu 3.48
Sn 0.0000 0.5000 0.5000  4 Th 3.34, 4 Pu 3.34, 4 Sn 3.48

Summary:
- Energy of formation: -1.672 eV/f.u.
- Total magnetization: 6.10 μB/cell
- DOS at the Fermi energy: 2.8831 states/eV per atom
- Energy above the lowest structure with this stoichiometry: 27 meV per atom

***

Record 4
Compound: Sr2BrCl
Source: Alexandria via LeMat-Bulk
Functional: PBE
Structure: relaxed

a = 4.4485 Å, b = 4.4485 Å, c = 33.6542 Å
α = 90.00°, β = 90.00°, γ = 120.00°
Closest atoms and distances in Å follow each position.
Space group R3m (No. 160, hexagonal axes)
Asymmetric unit:
Sr 0.0000 0.0000 0.0000  3 Cl 2.92, 3 Br 3.08
Sr 0.0000 0.0000 0.1696  6 Sr 4.45, 3 Br 4.59
Br 0.0000 0.0000 0.6160  3 Sr 3.08
Cl 0.0000 0.0000 0.3743  3 Sr 2.92

Summary:
- Uncorrected formation energy: -1.54 eV per atom
- Total magnetization: 0.00 μB/cell
- DOS at the Fermi energy: 0.3135 states/eV per atom
- Energy above the lowest structure with this stoichiometry: 64 meV per atom